{
  "formula": "La3VPt",
  "functional": "PBE",
  "state": "relaxed",
  "dos_at_fermi_per_ev_fu": 5.88,
  "crystal_system": "cubic",
  "dft_energy_ev_per_fu": -28.76,
  "cell": [[-3.366, 1.323, -3.786], [2.491, -3.184, -3.327], [-3.143, -3.940, 1.418]],
  "species": ["Pt", "La", "La", "La", "V"],
  "fractional_positions": [[0.500, 0.500, 0.500], [0.500, 0.000, 0.000], [0.000, 0.500, 0.000], [0.000, 0.000, 0.500], [0.000, 0.000, 0.000]]
}